[1]
Here is crystalline TeAsRh2 at its relaxed geometry from Alexandria. Energies are from GGA-PBEsol.

Values from the calculation:
- total energy (eV per atom) = -6.2525
- total magnetic moment (μB/f.u.) = 0.000
- density of states at the Fermi level (states/eV/cell) = 5.947
- distance to the lowest polymorph of the same formula (eV per atom) = 0.305
- formation energy from raw total energies (eV/atom) = -0.03

Geometry as CIF:
```
data_TeAsRh2
_chemical_formula_sum 'Te2 As2 Rh4'
_symmetry_space_group_name_H-M 'I m m 2'
_symmetry_Int_Tables_number 44
_cell_length_a 3.2609
_cell_length_b 4.4043
_cell_length_c 9.3971
_cell_angle_alpha 90.00
_cell_angle_beta 90.00
_cell_angle_gamma 90.00
loop_
_symmetry_equiv_pos_as_xyz
'x,y,z'
'-x,-y,z'
'-x,y,z'
'x,-y,z'
'x+1/2,y+1/2,z+1/2'
'-x+1/2,-y+1/2,z+1/2'
'-x+1/2,y+1/2,z+1/2'
'x+1/2,-y+1/2,z+1/2'
loop_
_atom_site_label
_atom_site_fract_x
_atom_site_fract_y
_atom_site_fract_z
Te1 0.0000 0.0000 0.0000
As1 0.0000 0.5000 0.7724
Rh1 0.0000 0.0000 0.4758
Rh2 0.0000 0.5000 0.2687
```


[2]
Here is crystalline TeAsRh2 at its relaxed geometry from Alexandria. Energies are from GGA-PBEsol.

Values from the calculation:
- total energy (eV per atom) = -6.2692
- total magnetic moment (μB/f.u.) = 0.000
- density of states at the Fermi level (states/eV/cell) = 3.676
- distance to the lowest polymorph of the same formula (eV per atom) = 0.289
- formation energy from raw total energies (eV/atom) = -0.04

Geometry as CIF:
```
data_TeAsRh2
_chemical_formula_sum 'Te1 As1 Rh2'
_symmetry_space_group_name_H-M 'P 4/m m m'
_symmetry_Int_Tables_number 123
_symmetry_space_group_name_Hall '-P 4 2'
_cell_length_a 4.4836
_cell_length_b 4.4836
_cell_length_c 3.2543
_cell_angle_alpha 90.00
_cell_angle_beta 90.00
_cell_angle_gamma 90.00
loop_
_atom_site_label
_atom_site_fract_x
_atom_site_fract_y
_atom_site_fract_z
Te1 0.0000 0.0000 0.0000
As1 0.5000 0.5000 0.0000
Rh1 0.0000 0.5000 0.5000
```